DFT (PBE-GGA) results for a relaxed structure of LiSc2In6.

ρ (Mg/m³): 5.80
Total moment (μB/f.u.): 0.00
Final energy (eV per atom): -3.619

The structure in POSCAR format:
```
LiSc2In6
1.0
4.9928 0.0000 0.0000
0.0000 7.5121 3.0004
0.0000 -7.5121 3.0004
Li Sc In
1 2 6
Direct
0.0000 0.0000 0.0000
0.5000 0.0926 0.4802
0.5000 0.4802 0.0926
0.0000 0.2787 0.7857
0.0000 0.5100 0.5100
0.0000 0.7857 0.2787
0.5000 0.2295 0.2295
0.5000 0.6745 0.8930
0.5000 0.8930 0.6745
```